(1)
# CoPIrS2

A relaxed structure of CoPIrS2 (PBE, the Alexandria database).

Calculated values
Density (g cm⁻³): 5.6
Uncorrected energy (eV/atom): -4.926
Formation energy from raw total energies (kJ per mole of atoms): 97
Distance to the lowest polymorph of the same formula (kJ/mol of formula units): 68

a b c (Å): 4.8479 4.8479 4.3521
angles (deg): 90.00 90.00 90.00
Space group P4/mmm (No. 123)
One atom of each set of equivalent atoms:
Co: 0.0000 0.0000 0.0000 [1 per cell]
P: 0.5000 0.5000 0.0000 [1 per cell]
Ir: 0.5000 0.5000 0.5000 [1 per cell]
S: 0.0000 0.5000 0.5000 [2 per cell]


(2)
# LaTcSb2

A relaxed structure of LaTcSb2 (PBE, the Alexandria database).

Calculated values
Density (g cm⁻³): 8.8
Uncorrected energy (eV/atom): -6.176
Formation energy from raw total energies (kJ per mole of atoms): -28
Distance to the lowest polymorph of the same formula (kJ/mol of formula units): 67

a b c (Å): 3.3928 3.3928 7.9091
angles (deg): 90.00 90.00 90.00
Space group P4/mmm (No. 123)
One atom of each set of equivalent atoms:
La: 0.0000 0.0000 0.0000 [1 per cell]
Tc: 0.0000 0.0000 0.5000 [1 per cell]
Sb: 0.5000 0.5000 0.2989 [2 per cell]


(3)
# BaRe2Os

A relaxed structure of BaRe2Os (PBE, the Alexandria database).

Calculated values
Density (g cm⁻³): 14.1
ΔH_f (0 K) (eV per atom): 1.2738
Uncorrected energy (eV/atom): -8.238
Distance to the lowest polymorph of the same formula (kJ/mol of formula units): 181

a b c (Å): 3.0440 5.4801 9.8639
angles (deg): 90.00 90.00 90.00
Space group Imm2 (No. 44)
One atom of each set of equivalent atoms:
Ba: 0.0000 0.0000 0.0000 [2 per cell]
Re: 0.0000 0.0000 0.4947 [2 per cell]
Re: 0.0000 0.5000 0.7953 [2 per cell]
Os: 0.0000 0.5000 0.2064 [2 per cell]


(4)
# Dy2MnCuSe5

A relaxed structure of Dy2MnCuSe5 (PBE, the Alexandria database).

Calculated values
Density (g cm⁻³): 7.2
Uncorrected energy (eV/atom): -5.567
Formation energy from raw total energies (kJ per mole of atoms): -109

a b c (Å): 3.9194 17.0438 11.5874
angles (deg): 90.00 90.00 90.00
Space group Cmc2_1 (No. 36)
One atom of each set of equivalent atoms:
Dy: 0.0000 0.1126 0.0000 [4 per cell]
Dy: 0.0000 0.1239 0.6171 [4 per cell]
Mn: 0.0000 0.1941 0.3246 [4 per cell]
Cu: 0.0000 0.4209 0.7717 [4 per cell]
Se: 0.0000 0.0494 0.3802 [4 per cell]
Se: 0.0000 0.2857 0.9761 [4 per cell]
Se: 0.0000 0.3007 0.6562 [4 per cell]
Se: 0.0000 0.3503 0.3119 [4 per cell]
Se: 0.0000 0.4973 0.5969 [4 per cell]


(5)
# SrYI2N

A relaxed structure of SrYI2N (PBE, the Alexandria database).

Calculated values
Density (g cm⁻³): 4.5
Uncorrected energy (eV/atom): -4.677
Formation energy from raw total energies (kJ per mole of atoms): -74
Distance to the lowest polymorph of the same formula (kJ/mol of formula units): 0

a b c (Å): 6.2256 6.2256 4.2494
angles (deg): 90.00 90.00 90.00
Space group P4/mmm (No. 123)
One atom of each set of equivalent atoms:
Sr: 0.0000 0.0000 0.0000 [1 per cell]
Y: 0.5000 0.5000 0.5000 [1 per cell]
I: 0.0000 0.5000 0.5000 [2 per cell]
N: 0.5000 0.5000 0.0000 [1 per cell]


(6)
# CePm5Ga6

A relaxed structure of CePm5Ga6 (PBE, the Alexandria database).

Calculated values
Density (g cm⁻³): 7.2
ΔH_f (0 K) (eV per atom): -0.5465
Uncorrected energy (eV/atom): -4.534

a b c (Å): 5.1810 7.3164 15.5805
angles (deg): 90.00 90.00 90.00
Space group Immm (No. 71)
One atom of each set of equivalent atoms:
Ce: 0.0000 0.0000 0.0000 [2 per cell]
Pm: 0.0000 0.0000 0.3320 [4 per cell]
Pm: 0.0000 0.5000 0.0000 [2 per cell]
Pm: 0.0000 0.5000 0.3359 [4 per cell]
Ga: 0.0000 0.2446 0.5000 [4 per cell]
Ga: 0.0000 0.2528 0.1677 [8 per cell]